*a*
Here is Tl3BiPb3 after structural relaxation from the Alexandria database. Energies are from PBE.

For the total moment, the calculation gives 0.000 μB/atom. The density of states at the Fermi level is 0.43 states/eV/atom.

It has space group R-3m (No. 166, hexagonal axes), with a = 7.0401 Å, b = 7.0401 Å, c = 33.4998 Å, α = 90.00°, β = 90.00° and γ = 120.00°. The inequivalent atoms are Tl at (0.0037, 0.5019, 0.3736), Bi at (0.0000, 0.0000, 0.2065) and Pb at (0.0030, 0.5015, 0.2091).

*b*
Here is Tl3BiPb3 after structural relaxation from the Alexandria database. Energies are from PBE.

For the total moment, the calculation gives 0.014 μB/atom. The density of states at the Fermi level is 0.90 states/eV/atom.

It has space group Pm-3n (No. 223), with a = 8.445 Å, b = 8.445 Å, c = 8.445 Å, α = 90.00°, β = 90.00° and γ = 90.00°. The inequivalent atoms are Tl at (0.000, 0.250, 0.500), Bi at (0.000, 0.000, 0.000) and Pb at (0.000, 0.500, 0.250).

*c*
Here is Tl3BiPb3 after structural relaxation from the Alexandria database. Energies are from PBE.

For the total moment, the calculation gives 0.000 μB/atom. The density of states at the Fermi level is 0.54 states/eV/atom.

It has space group R3m (No. 160, hexagonal axes), with a = 10.1647 Å, b = 10.1647 Å, c = 7.9707 Å, α = 90.00°, β = 90.00° and γ = 120.00°. The inequivalent atoms are Tl at (0.0944, 0.5472, 0.0000), Bi at (0.0000, 0.0000, 0.9724) and Pb at (0.0263, 0.5132, 0.4179).

Which of them is the most stable? Correct choice: *a*.

*a*
Here is TlBiPb4 after structural relaxation from the Alexandria database. Energies are from PBE.

For the total moment, the calculation gives 0.000 μB/atom. The density of states at the Fermi level is 0.52 states/eV/atom.

It has space group P2_1/m (No. 11), with a = 5.792 Å, b = 6.785 Å, c = 9.813 Å, α = 90.00°, β = 90.22° and γ = 90.00°. The inequivalent atoms are Tl at (0.171, 0.250, 0.089), Bi at (0.268, 0.250, 0.423), Pb at (0.231, 0.750, 0.395), Pb at (0.269, 0.502, 0.734) and Pb at (0.337, 0.750, 0.060).

*b*
Here is TlBiPb4 after structural relaxation from the Alexandria database. Energies are from PBE.

For the total moment, the calculation gives 0.000 μB/atom. The density of states at the Fermi level is 0.46 states/eV/atom.

It has space group F-43m (No. 216), with a = 9.276 Å, b = 9.276 Å, c = 9.276 Å, α = 90.00°, β = 90.00° and γ = 90.00°. The inequivalent atoms are Tl at (0.000, 0.000, 0.000), Bi at (0.250, 0.250, 0.250) and Pb at (0.125, 0.125, 0.625).

Which of them is the most stable? Correct choice: *a*.

*a*
Here is TlBi2Pb5 after structural relaxation from the Alexandria database. Energies are from PBE.

For the total moment, the calculation gives 0.000 μB/atom. The density of states at the Fermi level is 0.39 states/eV/atom.

It has space group Immm (No. 71), with a = 4.443 Å, b = 10.314 Å, c = 12.285 Å, α = 90.00°, β = 90.00° and γ = 90.00°. The inequivalent atoms are Tl at (0.000, 0.000, 0.000), Bi at (0.000, 0.500, 0.277), Pb at (0.000, 0.187, 0.354) and Pb at (0.000, 0.500, 0.000).

*b*
Here is TlBi2Pb5 after structural relaxation from the Alexandria database. Energies are from PBE.

For the total moment, the calculation gives 0.000 μB/atom. The density of states at the Fermi level is 0.34 states/eV/atom.

It has space group I4mm (No. 107), with a = 7.167 Å, b = 7.167 Å, c = 9.883 Å, α = 90.00°, β = 90.00° and γ = 90.00°. The inequivalent atoms are Tl at (0.000, 0.000, 0.000), Bi at (0.000, 0.500, 0.000), Pb at (0.000, 0.000, 0.499) and Pb at (0.250, 0.250, 0.250).

Which of them is the most stable? Correct choice: *b*.

*a*
Here is Tl4BiPb after structural relaxation from the Alexandria database. Energies are from PBE.

For the total moment, the calculation gives 0.000 μB/atom. The density of states at the Fermi level is 0.45 states/eV/atom.

It has space group C2/c (No. 15), with a = 6.790 Å, b = 19.324 Å, c = 5.969 Å, α = 90.00°, β = 93.09° and γ = 90.00°. The inequivalent atoms are Tl at (0.248, 0.135, 0.255), Tl at (0.250, 0.047, 0.756), Bi at (0.000, 0.294, 0.250) and Pb at (0.000, 0.207, 0.750).

*b*
Here is Tl4BiPb after structural relaxation from the Alexandria database. Energies are from PBE.

For the total moment, the calculation gives 0.000 μB/atom. The density of states at the Fermi level is 0.71 states/eV/atom.

It has space group F-43m (No. 216), with a = 9.169 Å, b = 9.169 Å, c = 9.169 Å, α = 90.00°, β = 90.00° and γ = 90.00°. The inequivalent atoms are Tl at (0.125, 0.125, 0.125), Bi at (0.000, 0.000, 0.500) and Pb at (0.250, 0.250, 0.750).

Which of them is the most stable? Correct choice: *a*.

*a*
Here is Tl2Bi2Pb after structural relaxation from the Alexandria database. Energies are from PBE.

For the total moment, the calculation gives 0.000 μB/atom. The density of states at the Fermi level is 0.51 states/eV/atom.

It has space group P-1 (No. 2), with a = 5.617 Å, b = 6.300 Å, c = 10.190 Å, α = 100.80°, β = 92.87° and γ = 111.84°. The inequivalent atoms are Tl at (0.051, 0.100, 0.346), Tl at (0.164, 0.311, 0.035), Bi at (0.349, 0.715, 0.432), Bi at (0.449, 0.922, 0.142) and Pb at (0.270, 0.516, 0.713).

*b*
Here is Tl2Bi2Pb after structural relaxation from the Alexandria database. Energies are from PBE.

For the total moment, the calculation gives 0.000 μB/atom. The density of states at the Fermi level is 0.65 states/eV/atom.

It has space group I4/mmm (No. 139), with a = 4.475 Å, b = 4.475 Å, c = 17.473 Å, α = 90.00°, β = 90.00° and γ = 90.00°. The inequivalent atoms are Tl at (0.000, 0.000, 0.097), Bi at (0.000, 0.500, 0.250) and Pb at (0.000, 0.000, 0.500).

Which of them is the most stable? Correct choice: *a*.

*a*
Here is Tl2Bi2Pb after structural relaxation from the Alexandria database. Energies are from PBE.

For the total moment, the calculation gives 0.000 μB/atom. The density of states at the Fermi level is 0.71 states/eV/atom.

It has space group P4/mbm (No. 127), with a = 9.556 Å, b = 9.556 Å, c = 3.612 Å, α = 90.00°, β = 90.00° and γ = 90.00°. The inequivalent atoms are Tl at (0.131, 0.369, 0.000), Bi at (0.168, 0.668, 0.500) and Pb at (0.000, 0.000, 0.500).

*b*
Here is Tl2Bi2Pb after structural relaxation from the Alexandria database. Energies are from PBE.

For the total moment, the calculation gives 0.000 μB/atom. The density of states at the Fermi level is 0.39 states/eV/atom.

It has space group C2/m (No. 12), with a = 12.628 Å, b = 5.591 Å, c = 10.743 Å, α = 90.00°, β = 114.08° and γ = 90.00°. The inequivalent atoms are Tl at (0.013, 0.000, 0.331), Tl at (0.163, 0.000, 0.067), Bi at (0.048, 0.500, 0.887), Bi at (0.137, 0.500, 0.600) and Pb at (0.214, 0.500, 0.349).

*c*
Here is Tl2Bi2Pb after structural relaxation from the Alexandria database. Energies are from PBE.

For the total moment, the calculation gives 0.000 μB/atom. The density of states at the Fermi level is 0.60 states/eV/atom.

It has space group I4/mmm (No. 139), with a = 4.626 Å, b = 4.626 Å, c = 16.066 Å, α = 90.00°, β = 90.00° and γ = 90.00°. The inequivalent atoms are Tl at (0.000, 0.500, 0.250), Bi at (0.000, 0.000, 0.095) and Pb at (0.000, 0.000, 0.500).

*d*
Here is Tl2Bi2Pb after structural relaxation from the Alexandria database. Energies are from PBE.

For the total moment, the calculation gives 0.000 μB/atom. The density of states at the Fermi level is 1.25 states/eV/atom.

It has space group P4/mmm (No. 123), with a = 5.942 Å, b = 5.942 Å, c = 6.093 Å, α = 90.00°, β = 90.00° and γ = 90.00°. The inequivalent atoms are Tl at (0.000, 0.500, 0.000), Bi at (0.000, 0.000, 0.000), Bi at (0.000, 0.000, 0.500) and Pb at (0.500, 0.500, 0.500).

Which of them is the most stable? Correct choice: *b*.

*a*
Here is Tl5Bi2Pb2 after structural relaxation from the Alexandria database. Energies are from PBE.

For the total moment, the calculation gives 0.000 μB/atom. The density of states at the Fermi level is 0.48 states/eV/atom.

It has space group Ima2 (No. 46), with a = 20.967 Å, b = 9.011 Å, c = 6.281 Å, α = 90.00°, β = 90.00° and γ = 90.00°. The inequivalent atoms are Tl at (0.103, 0.184, 0.000), Tl at (0.163, 0.552, 0.060), Tl at (0.250, 0.602, 0.556), Bi at (0.000, 0.000, 0.619), Bi at (0.250, 0.242, 0.303) and Pb at (0.054, 0.645, 0.648).

*b*
Here is Tl5Bi2Pb2 after structural relaxation from the Alexandria database. Energies are from PBE.

For the total moment, the calculation gives 0.000 μB/atom. The density of states at the Fermi level is 0.45 states/eV/atom.

It has space group C2 (No. 5), with a = 5.215 Å, b = 10.494 Å, c = 10.744 Å, α = 90.00°, β = 90.07° and γ = 90.00°. The inequivalent atoms are Tl at (0.000, 0.000, 0.000), Tl at (0.000, 0.335, 0.169), Tl at (0.000, 0.643, 0.312), Bi at (0.000, 0.278, 0.500), Bi at (0.000, 0.683, 0.000) and Pb at (0.001, 0.957, 0.646).

Which of them is the most stable? Correct choice: *a*.

*a*
Here is TlBiPb after structural relaxation from the Alexandria database. Energies are from PBE.

For the total moment, the calculation gives 0.000 μB/atom. The density of states at the Fermi level is 0.43 states/eV/atom.

It has space group Cm (No. 8), with a = 9.732 Å, b = 5.699 Å, c = 7.124 Å, α = 90.00°, β = 90.10° and γ = 90.00°. The inequivalent atoms are Tl at (0.000, 0.000, 0.000), Tl at (0.002, 0.000, 0.500), Bi at (0.169, 0.500, 0.279), Bi at (0.333, 0.000, 0.774), Pb at (0.167, 0.500, 0.734) and Pb at (0.334, 0.000, 0.227).

*b*
Here is TlBiPb after structural relaxation from the Alexandria database. Energies are from PBE.

For the total moment, the calculation gives 0.000 μB/atom. The density of states at the Fermi level is 0.22 states/eV/atom.

It has space group F-43m (No. 216), with a = 7.702 Å, b = 7.702 Å, c = 7.702 Å, α = 90.00°, β = 90.00° and γ = 90.00°. The inequivalent atoms are Tl at (0.000, 0.000, 0.000), Bi at (0.250, 0.250, 0.750) and Pb at (0.000, 0.000, 0.500).

Which of them is the most stable? Correct choice: *a*.